Record 1
# ZrNp3S6 PBE-GGA relaxed
data_ZrNp3S6
_symmetry_space_group_name_H-M 'R -3'
_symmetry_Int_Tables_number 148
_symmetry_space_group_name_Hall '-R 3'
_cell_length_a 11.8754
_cell_length_b 11.8754
_cell_length_c 11.2686
_cell_angle_alpha 90.00
_cell_angle_beta 90.00
_cell_angle_gamma 120.00
loop_
_atom_site_label
_atom_site_type_symbol
_atom_site_fract_x
_atom_site_fract_y
_atom_site_fract_z
Zr1 Zr 0.0000 0.0000 0.0000
Zr2 Zr 0.0000 0.0000 0.5000
Np1 Np 0.0513 0.7706 0.1513
S1 S 0.0323 0.8242 0.8936
S2 S 0.0524 0.8490 0.3812
# ΔE_f (raw) in eV/atom: -1.3952
# Crystal system: trigonal

=====

Record 2
# NpSb3 PBE-GGA relaxed
data_NpSb3
_symmetry_space_group_name_H-M 'P 4/m m m'
_symmetry_Int_Tables_number 123
_symmetry_space_group_name_Hall '-P 4 2'
_cell_length_a 4.693
_cell_length_b 4.693
_cell_length_c 4.709
_cell_angle_alpha 90.00
_cell_angle_beta 90.00
_cell_angle_gamma 90.00
loop_
_atom_site_label
_atom_site_type_symbol
_atom_site_fract_x
_atom_site_fract_y
_atom_site_fract_z
Np1 Np 0.000 0.000 0.000
Sb1 Sb 0.000 0.500 0.500
Sb2 Sb 0.500 0.500 0.000
# ΔE_f (raw) in eV/atom: -0.1192
# Crystal system: tetragonal

=====

Record 3
# Np4Sb3 PBE-GGA relaxed
data_Np4Sb3
_symmetry_space_group_name_H-M 'I -4 3 d'
_symmetry_Int_Tables_number 220
_symmetry_space_group_name_Hall 'I -4bd 2c 3'
_cell_length_a 9.201
_cell_length_b 9.201
_cell_length_c 9.201
_cell_angle_alpha 90.00
_cell_angle_beta 90.00
_cell_angle_gamma 90.00
loop_
_atom_site_label
_atom_site_type_symbol
_atom_site_fract_x
_atom_site_fract_y
_atom_site_fract_z
Np1 Np 0.079 0.079 0.079
Sb1 Sb 0.000 0.250 0.375
# ΔE_f (raw) in eV/atom: -0.1973
# Crystal system: cubic

=====

Record 4
# Np3Sb PBE-GGA relaxed
data_Np3Sb
_symmetry_space_group_name_H-M 'F m -3 m'
_symmetry_Int_Tables_number 225
_symmetry_space_group_name_Hall '-F 4 2 3'
_cell_length_a 7.051
_cell_length_b 7.051
_cell_length_c 7.051
_cell_angle_alpha 90.00
_cell_angle_beta 90.00
_cell_angle_gamma 90.00
loop_
_atom_site_label
_atom_site_type_symbol
_atom_site_fract_x
_atom_site_fract_y
_atom_site_fract_z
Np1 Np 0.000 0.000 0.000
Np2 Np 0.250 0.250 0.250
Sb1 Sb 0.000 0.000 0.500
# Distance to the lowest polymorph of the same formula in meV/atom: 253
# ΔE_f (raw) in eV/atom: 0.4163
# Crystal system: cubic

=====

Record 5
# NpSb5 PBE-GGA relaxed
data_NpSb5
_symmetry_space_group_name_H-M 'C m m m'
_symmetry_Int_Tables_number 65
_symmetry_space_group_name_Hall '-C 2 2'
_cell_length_a 4.460
_cell_length_b 16.658
_cell_length_c 4.450
_cell_angle_alpha 90.00
_cell_angle_beta 90.00
_cell_angle_gamma 90.00
loop_
_atom_site_label
_atom_site_type_symbol
_atom_site_fract_x
_atom_site_fract_y
_atom_site_fract_z
Np1 Np 0.000 0.000 0.000
Sb1 Sb 0.000 0.150 0.500
Sb2 Sb 0.000 0.347 0.000
Sb3 Sb 0.000 0.500 0.500
# ΔE_f (raw) in eV/atom: -0.0435
# Crystal system: orthorhombic

=====

Record 6
# Np3Sb PBE-GGA relaxed
data_Np3Sb
_symmetry_space_group_name_H-M 'I 4/m m m'
_symmetry_Int_Tables_number 139
_symmetry_space_group_name_Hall '-I 4 2'
_cell_length_a 4.487
_cell_length_b 4.487
_cell_length_c 9.461
_cell_angle_alpha 90.00
_cell_angle_beta 90.00
_cell_angle_gamma 90.00
loop_
_atom_site_label
_atom_site_type_symbol
_atom_site_fract_x
_atom_site_fract_y
_atom_site_fract_z
Np1 Np 0.000 0.000 0.000
Np2 Np 0.000 0.500 0.250
Sb1 Sb 0.000 0.000 0.500
# Distance to the lowest polymorph of the same formula in meV/atom: 0
# ΔE_f (raw) in eV/atom: 0.1631
# Crystal system: tetragonal

=====

Record 7
# Np2Sb PBE-GGA relaxed
data_Np2Sb
_symmetry_space_group_name_H-M 'C 1 2/m 1'
_symmetry_Int_Tables_number 12
_symmetry_space_group_name_Hall '-C 2y'
_cell_length_a 9.855
_cell_length_b 3.605
_cell_length_c 3.834
_cell_angle_alpha 90.00
_cell_angle_beta 101.93
_cell_angle_gamma 90.00
loop_
_atom_site_label
_atom_site_type_symbol
_atom_site_fract_x
_atom_site_fract_y
_atom_site_fract_z
Np1 Np 0.188 0.000 0.108
Sb1 Sb 0.000 0.500 0.500
# ΔE_f (raw) in eV/atom: -0.2691
# Crystal system: monoclinic

=====

Record 8
# Np6Sb PBE-GGA relaxed
data_Np6Sb
_symmetry_space_group_name_H-M 'I m -3 m'
_symmetry_Int_Tables_number 229
_symmetry_space_group_name_Hall '-I 4 2 3'
_cell_length_a 6.837
_cell_length_b 6.837
_cell_length_c 6.837
_cell_angle_alpha 90.00
_cell_angle_beta 90.00
_cell_angle_gamma 90.00
loop_
_atom_site_label
_atom_site_type_symbol
_atom_site_fract_x
_atom_site_fract_y
_atom_site_fract_z
Np1 Np 0.000 0.250 0.500
Sb1 Sb 0.000 0.000 0.000
# ΔE_f (raw) in eV/atom: 0.5232
# Crystal system: cubic

=====

Record 9
# Np3Sb2 PBE-GGA relaxed
data_Np3Sb2
_symmetry_space_group_name_H-M 'R -3 c'
_symmetry_Int_Tables_number 167
_symmetry_space_group_name_Hall '-R 3 2"c'
_cell_length_a 5.1814
_cell_length_b 5.1814
_cell_length_c 33.1997
_cell_angle_alpha 90.00
_cell_angle_beta 90.00
_cell_angle_gamma 120.00
loop_
_atom_site_label
_atom_site_type_symbol
_atom_site_fract_x
_atom_site_fract_y
_atom_site_fract_z
Np1 Np 0.0000 0.3321 0.2500
Sb1 Sb 0.0000 0.0000 0.1670
# ΔE_f (raw) in eV/atom: 0.2640
# Crystal system: trigonal

=====

Record 10
# NpSb3 PBE-GGA relaxed
data_NpSb3
_symmetry_space_group_name_H-M 'I 4/m m m'
_symmetry_Int_Tables_number 139
_symmetry_space_group_name_Hall '-I 4 2'
_cell_length_a 4.436
_cell_length_b 4.436
_cell_length_c 10.597
_cell_angle_alpha 90.00
_cell_angle_beta 90.00
_cell_angle_gamma 90.00
loop_
_atom_site_label
_atom_site_type_symbol
_atom_site_fract_x
_atom_site_fract_y
_atom_site_fract_z
Np1 Np 0.000 0.000 0.000
Sb1 Sb 0.000 0.000 0.500
Sb2 Sb 0.000 0.500 0.250
# ΔE_f (raw) in eV/atom: -0.1408
# Crystal system: tetragonal

=====

Record 11
# NpSb3 PBE-GGA relaxed
data_NpSb3
_symmetry_space_group_name_H-M 'P 63/m m c'
_symmetry_Int_Tables_number 194
_symmetry_space_group_name_Hall '-P 6c 2c'
_cell_length_a 6.4571
_cell_length_b 6.4571
_cell_length_c 5.7756
_cell_angle_alpha 90.00
_cell_angle_beta 90.00
_cell_angle_gamma 120.00
loop_
_atom_site_label
_atom_site_type_symbol
_atom_site_fract_x
_atom_site_fract_y
_atom_site_fract_z
Np1 Np 0.3333 0.6667 0.2500
Sb1 Sb 0.1734 0.3468 0.7500
# ΔE_f (raw) in eV/atom: -0.1366
# Crystal system: hexagonal

=====

Record 12
# NpSc4Sb5 PBE-GGA relaxed
data_NpSc4Sb5
_symmetry_space_group_name_H-M 'I m m m'
_symmetry_Int_Tables_number 71
_symmetry_space_group_name_Hall '-I 2 2'
_cell_length_a 4.198
_cell_length_b 5.982
_cell_length_c 21.070
_cell_angle_alpha 90.00
_cell_angle_beta 90.00
_cell_angle_gamma 90.00
loop_
_atom_site_label
_atom_site_type_symbol
_atom_site_fract_x
_atom_site_fract_y
_atom_site_fract_z
Np1 Np 0.000 0.000 0.000
Sc1 Sc 0.000 0.000 0.204
Sc2 Sc 0.000 0.000 0.399
Sb1 Sb 0.000 0.500 0.000
Sb2 Sb 0.000 0.500 0.199
Sb3 Sb 0.000 0.500 0.394
# ΔE_f (raw) in eV/atom: -0.7728
# Crystal system: orthorhombic